{"formula": "Tb2AlCo3", "functional": "PBE", "state": "optimized geometry", "space_group": "P6_3/mmc (194)", "mass_density_g_cm3": 8.98, "dos_ef_per_ev_cell": 16.9, "delta_e_f_kj_per_mol_atoms": -29.0, "cell": [[-4.4810, -0.9273, -2.6765], [0.5846, -1.8794, 4.9224], [-3.1247, 6.6741, 2.9192]], "species": ["Tb", "Tb", "Co", "Co", "Co", "Tb", "Co", "Tb", "Co", "Al", "Al", "Co"], "frac_coords": [[0.6667, 0.3333, 0.4374], [0.3333, 0.6667, 0.5626], [0.1724, 0.3448, 0.2500], [0.3448, 0.1724, 0.7500], [0.8276, 0.6552, 0.7500], [0.3333, 0.6667, 0.9374], [0.1724, 0.8276, 0.2500], [0.6667, 0.3333, 0.0626], [0.6552, 0.8276, 0.2500], [0.0000, 0.0000, 0.5000], [0.0000, 0.0000, 0.0000], [0.8276, 0.1724, 0.7500]]}